# PmSm8Sc5 | the Alexandria database | GGA-PBE | optimized geometry
# symmetry = I-4
# total moment = 0.000 μB/atom
# DOS at the Fermi energy = 1.574 states/eV per atom
# total energy = -70.61 eV per cell
# density = 5966 kg/m³
# ΔE_f = 0.2537 eV per atom
data_PmSm8Sc5
_cell_length_a 8.295
_cell_length_b 8.295
_cell_length_c 8.295
_cell_angle_alpha 111.54
_cell_angle_beta 111.54
_cell_angle_gamma 105.41
_space_group_name_H-M_alt 'P 1'
_space_group_IT_number 1
_space_group_name_Hall 'P 1'
loop_
_atom_site_label
_atom_site_type_symbol
_atom_site_fract_x
_atom_site_fract_y
_atom_site_fract_z
Pm1 Pm 0.000 0.000 0.000
Sm1 Sm 0.094 0.327 0.421
Sm2 Sm 0.173 0.415 0.896
Sm3 Sm 0.327 0.906 0.233
Sm4 Sm 0.519 0.277 0.104
Sm5 Sm 0.585 0.481 0.758
Sm6 Sm 0.673 0.094 0.767
Sm7 Sm 0.723 0.827 0.242
Sm8 Sm 0.906 0.673 0.579
Sc1 Sc 0.212 0.020 0.590
Sc2 Sc 0.378 0.788 0.808
Sc3 Sc 0.430 0.622 0.410
Sc4 Sc 0.750 0.250 0.500
Sc5 Sc 0.980 0.570 0.192